Entry 1:
Pm3Sn5N12: optimized geometry, PBE.

a = 11.617 Å, b = 11.617 Å, c = 11.617 Å
α = 109.47°, β = 109.47°, γ = 109.47°
Site moments in Bohr magnetons follow the coordinates.
Sites, in units of the cell vectors:
Pm 0.625 0.375 0.750  0.02
Sn 0.625 0.875 0.250  -0.01
Sn 0.500 0.000 0.000  -0.01
N 0.912 0.087 0.623  0.42
Sn 0.125 0.375 0.250  -0.01
Sn 0.750 0.125 0.875  -0.01
Sn 0.250 0.875 0.125  -0.01
Pm 0.125 0.250 0.875  0.02
N 0.412 0.288 0.324  0.42
N 0.824 0.912 0.288  0.42
N 0.088 0.176 0.212  0.42
Pm 0.375 0.750 0.625  0.02
N 0.964 0.377 0.288  0.42
N 0.712 0.588 0.176  0.42
Sn 0.375 0.125 0.750  -0.01
N 0.788 0.464 0.377  0.42
N 0.587 0.964 0.676  0.42
N 0.288 0.877 0.964  0.42
N 0.964 0.587 0.176  0.42
Pm 0.875 0.125 0.250  0.02
N 0.036 0.413 0.824  0.42
Sn 0.000 0.500 0.000  -0.01
Pm 0.625 0.250 0.375  0.02
N 0.536 0.212 0.123  0.42
N 0.123 0.712 0.536  0.42
N 0.212 0.676 0.088  0.42
N 0.087 0.912 0.123  0.42
N 0.623 0.587 0.912  0.42
N 0.413 0.377 0.588  0.42
N 0.712 0.123 0.036  0.42
N 0.176 0.087 0.964  0.42
Sn 0.125 0.750 0.375  -0.01
N 0.623 0.036 0.212  0.42
N 0.087 0.176 0.464  0.42
N 0.587 0.623 0.412  0.42
N 0.676 0.464 0.587  0.42
N 0.377 0.964 0.788  0.42
Pm 0.250 0.625 0.875  0.02
Sn 0.750 0.625 0.375  -0.01
Pm 0.875 0.750 0.125  0.02
N 0.824 0.913 0.036  0.42
N 0.176 0.088 0.712  0.42
N 0.788 0.324 0.912  0.42
Sn 0.875 0.250 0.625  -0.01
N 0.464 0.676 0.087  0.42
Sn 0.500 0.500 0.500  -0.01
Pm 0.250 0.125 0.375  0.02
Pm 0.750 0.875 0.625  0.02
N 0.588 0.877 0.413  0.42
Pm 0.750 0.375 0.125  0.02
Sn 0.250 0.375 0.625  -0.01
N 0.588 0.712 0.676  0.42
Sn 0.000 0.000 0.500  -0.01
N 0.913 0.824 0.536  0.42
N 0.123 0.412 0.087  0.42
Pm 0.125 0.875 0.750  0.02
N 0.464 0.788 0.877  0.42
N 0.212 0.536 0.623  0.42
Pm 0.375 0.625 0.250  0.02
N 0.324 0.788 0.412  0.42
N 0.324 0.536 0.413  0.42
Sn 0.000 0.500 0.500  -0.01
Sn 0.875 0.625 0.750  -0.01
Sn 0.625 0.750 0.875  -0.01
N 0.377 0.413 0.088  0.42
N 0.036 0.623 0.712  0.42
Sn 0.375 0.250 0.125  -0.01
N 0.912 0.824 0.788  0.42
Sn 0.500 0.000 0.500  -0.01
N 0.088 0.913 0.377  0.42
N 0.877 0.588 0.913  0.42
N 0.536 0.324 0.913  0.42
N 0.913 0.088 0.877  0.42
Sn 0.500 0.500 0.000  -0.01
N 0.413 0.036 0.324  0.42
N 0.412 0.123 0.587  0.42
N 0.676 0.212 0.588  0.42
N 0.877 0.288 0.464  0.42
N 0.288 0.412 0.824  0.42
Sn 0.000 0.000 0.000  -0.01

**Calculated volume**: 15.1 A^3/atom
**Raw formation energy**: 4.4 eV per formula unit
**E_tot**: -6.49 eV/atom


Entry 2:
Y2TiMnB: optimized geometry, PBE.

a = 4.969 Å, b = 4.198 Å, c = 4.969 Å
α = 90.00°, β = 90.00°, γ = 90.00°
Sites, in units of the cell vectors:
Y 0.000 0.000 0.500
Y 0.500 0.000 0.000
Ti 0.000 0.500 0.000
Mn 0.500 0.500 0.500
B 0.000 0.000 0.000

**Calculated volume**: 20.7 A^3/atom
**Formation enthalpy at 0 K**: 0.5173 eV/atom
**E_tot**: -6.82 eV/atom


Entry 3:
NaTc3F: optimized geometry, PBE.

a = 4.284 Å, b = 4.284 Å, c = 4.284 Å
α = 90.00°, β = 90.00°, γ = 90.00°
Site moments in Bohr magnetons follow the coordinates.
Sites, in units of the cell vectors:
Tc 0.500 0.000 0.000  0.78
F 0.000 0.000 0.000  0.02
Tc 0.000 0.000 0.500  1.34
Tc 0.000 0.500 0.000  1.03
Na 0.500 0.500 0.500  -0.01

**Calculated volume**: 15.7 A^3/atom
**Raw formation energy**: 5.9 eV per formula unit
**E_tot**: -5.67 eV/atom


Entry 4:
ReSi2Ir: optimized geometry, PBE.

a = 8.043 Å, b = 8.043 Å, c = 8.043 Å
α = 20.32°, β = 20.32°, γ = 20.32°
Sites, in units of the cell vectors:
Si 0.501 0.501 0.501
Re 0.750 0.750 0.750
Si 0.999 0.999 0.999
Ir 0.250 0.250 0.250

**Calculated volume**: 13.7 A^3/atom
**Raw formation energy**: -1.0 eV per formula unit
**E_tot**: -8.28 eV/atom


Entry 5:
CoRhAu2: optimized geometry, PBE.

a = 5.408 Å, b = 5.408 Å, c = 5.408 Å
α = 149.31°, β = 128.75°, γ = 60.93°
Site moments in Bohr magnetons follow the coordinates.
Sites, in units of the cell vectors:
Rh 0.272 0.772 0.500  0.69
Co 0.489 0.489 0.000  1.92
Au 0.734 0.234 0.500  0.02
Au 0.006 0.006 0.000  0.01

**Calculated volume**: 15.6 A^3/atom
**Formation enthalpy at 0 K**: 0.2288 eV/atom
**E_tot**: -5.02 eV/atom


Entry 6:
Tb7SmSc4: optimized geometry, PBE.

a = 6.990 Å, b = 6.054 Å, c = 11.077 Å
α = 79.50°, β = 50.88°, γ = 90.07°
Sites, in units of the cell vectors:
Sc 0.594 0.275 0.662
Tb 0.664 0.224 0.337
Tb 0.261 0.497 0.995
Tb 0.916 0.715 0.340
Sc 0.840 0.784 0.660
Sm 0.000 0.000 0.000
Sc 0.160 0.216 0.340
Tb 0.500 0.000 0.000
Tb 0.336 0.776 0.663
Sc 0.406 0.725 0.338
Tb 0.084 0.285 0.660
Tb 0.739 0.503 0.005

**Calculated volume**: 29.5 A^3/atom
**Formation enthalpy at 0 K**: 0.0226 eV/atom
**E_tot**: -5.18 eV/atom


Entry 7:
Ti4ReMo2: optimized geometry, PBE.

a = 4.707 Å, b = 4.707 Å, c = 7.012 Å
α = 70.39°, β = 70.39°, γ = 90.00°
Sites, in units of the cell vectors:
Re 0.000 0.000 0.000
Mo 0.620 0.620 0.760
Ti 0.000 0.500 0.000
Ti 0.500 0.000 0.000
Ti 0.799 0.799 0.402
Mo 0.380 0.380 0.240
Ti 0.201 0.201 0.598

**Calculated volume**: 19.5 A^3/atom
**Formation enthalpy at 0 K**: 0.8603 eV/atom
**E_tot**: -8.52 eV/atom


Entry 8:
Tl2Cu2Te2Cl: optimized geometry, PBE.

a = 4.154 Å, b = 6.767 Å, c = 8.224 Å
α = 65.44°, β = 75.37°, γ = 72.13°
Sites, in units of the cell vectors:
Te 0.802 0.668 0.727
Tl 0.454 0.784 0.308
Cl 0.000 0.000 0.000
Cu 0.233 0.604 0.931
Te 0.198 0.332 0.273
Cu 0.767 0.396 0.069
Tl 0.546 0.216 0.692

**Calculated volume**: 28.3 A^3/atom
**Raw formation energy**: -2.4 eV per formula unit
**E_tot**: -3.35 eV/atom


Entry 9:
BPb2O3: optimized geometry, PBE.

a = 4.824 Å, b = 6.879 Å, c = 8.861 Å
α = 125.33°, β = 105.80°, γ = 90.00°
Sites, in units of the cell vectors:
O 0.153 0.898 0.183
Pb 0.334 0.511 0.693
O 0.651 0.750 0.000
O 0.847 0.102 0.817
Pb 0.642 0.989 0.307
O 0.030 0.398 0.183
B 0.053 0.250 0.000
O 0.970 0.602 0.817
B 0.947 0.750 0.000
Pb 0.666 0.489 0.307
O 0.349 0.250 0.000
Pb 0.358 0.011 0.693

**Calculated volume**: 18.8 A^3/atom
**Raw formation energy**: -8.9 eV per formula unit
**E_tot**: -6.31 eV/atom


Entry 10:
LaSn5Se7: optimized geometry, PBE.

a = 4.215 Å, b = 7.344 Å, c = 24.773 Å
α = 90.00°, β = 90.00°, γ = 106.68°
Sites, in units of the cell vectors:
Sn 0.277 0.555 0.075
Sn 0.479 0.958 0.851
Se 0.357 0.713 0.538
Se 0.882 0.764 0.380
Se 0.644 0.288 0.038
Se 0.168 0.337 0.322
Sn 0.257 0.514 0.423
La 0.789 0.579 0.259
Sn 0.452 0.905 0.649
Sn 0.521 0.043 0.351
Se 0.561 0.122 0.748
Sn 0.723 0.447 0.575
Sn 0.006 0.012 0.004
La 0.211 0.422 0.759
Se 0.806 0.611 0.681
Sn 0.743 0.487 0.923
Se 0.085 0.170 0.607
Se 0.625 0.250 0.464
Se 0.916 0.832 0.107
Se 0.440 0.879 0.248
Se 0.195 0.390 0.181
Se 0.832 0.664 0.822
Se 0.119 0.238 0.879
Sn 0.548 0.097 0.149
Se 0.375 0.751 0.964
Sn 0.995 0.990 0.504

**Calculated volume**: 28.3 A^3/atom
**Raw formation energy**: -9.3 eV per formula unit
**E_tot**: -4.51 eV/atom


Entry 11:
LaHRh: optimized geometry, PBE.

a = 3.934 Å, b = 4.110 Å, c = 7.017 Å
α = 90.00°, β = 106.16°, γ = 90.00°
Sites, in units of the cell vectors:
La 0.189 0.181 0.650
H 0.615 0.815 0.502
H 0.008 0.315 0.291
Rh 0.730 0.653 0.732
Rh 0.894 0.153 0.061
La 0.434 0.681 0.142

**Calculated volume**: 18.2 A^3/atom
**E_tot**: -5.87 eV/atom


Entry 12:
K3SbC: optimized geometry, PBE.

a = 5.721 Å, b = 5.721 Å, c = 5.721 Å
α = 90.00°, β = 90.00°, γ = 90.00°
Site moments in Bohr magnetons follow the coordinates.
Sites, in units of the cell vectors:
C 0.000 0.000 0.000  1.15
K 0.000 0.000 0.500  0.04
Sb 0.500 0.500 0.500  0.41
K 0.500 0.000 0.000  0.04
K 0.000 0.500 0.000  0.04

**Calculated volume**: 37.5 A^3/atom
**Raw formation energy**: 3.8 eV per formula unit
**E_tot**: -2.57 eV/atom


Number 5 is which compound? CoRhAu2